Entry 1:
Ce3HoIr | PBE | relaxed

Structure (POSCAR):
```
Ce3HoIr
1.0
-0.0423 4.4385 3.0589
1.9821 -3.9827 5.8064
6.5560 0.7368 -0.9785
Ce Ho Ir
6 2 2
direct
0.4779 0.2126 0.3003
0.4748 0.8691 0.9008
0.9767 0.5024 0.4365
0.9779 0.1402 0.6012
0.9748 0.4837 0.0008
0.4767 0.8503 0.4651
0.4747 0.3910 0.7633
0.9747 0.9618 0.1383
0.9741 0.7802 0.7167
0.4740 0.5726 0.1848
```

**Energy relative to the elements**: -0.29 eV per atom
**Uncorrected energy**: -65.43 eV/cell

Entry 2:
CeHoIr4 | PBE | relaxed

Structure (POSCAR):
```
CeHoIr4
1.0
5.3758 0.0000 0.0000
2.6879 4.6556 0.0000
2.6879 1.5519 4.3893
Ir Ho Ce
4 1 1
direct
0.6247 0.6247 0.1259
0.6247 0.1259 0.6247
0.6247 0.6247 0.6247
0.1259 0.6247 0.6247
0.2500 0.2500 0.2500
0.0000 0.0000 0.0000
```

**Energy relative to the elements**: -0.79 eV per atom
**Uncorrected energy**: -50.69 eV/cell

Entry 3:
CeHo2Ir2 | PBE | relaxed

Structure (POSCAR):
```
CeHo2Ir2
1.0
-2.5036 1.5037 3.2052
-3.9764 -3.7148 -1.3632
7.4394 -3.7795 7.5842
Ce Ho Ir
2 4 4
direct
0.2500 0.8078 0.2050
0.7500 0.1922 0.7950
0.2500 0.7675 0.8804
0.7500 0.2325 0.1196
0.2500 0.2845 0.5315
0.7500 0.7155 0.4685
0.2500 0.8878 0.6437
0.7500 0.1122 0.3563
0.2500 0.3092 0.9710
0.7500 0.6908 0.0290
```

**Energy relative to the elements**: -0.72 eV per atom
**Uncorrected energy**: -72.83 eV/cell

Entry 4:
Ce2HoIr2 | PBE | relaxed

Structure (POSCAR):
```
Ce2HoIr2
1.0
3.8743 0.0000 0.0000
0.0000 7.7402 0.0000
0.0000 0.0000 7.7402
Ce Ho Ir
4 2 4
direct
0.0000 0.6633 0.3367
0.0000 0.8367 0.8367
0.0000 0.1633 0.1633
0.0000 0.3367 0.6633
0.5000 0.5000 0.0000
0.5000 0.0000 0.5000
0.5000 0.3589 0.3589
0.5000 0.8589 0.1411
0.5000 0.1411 0.8589
0.5000 0.6411 0.6411
```

**Energy relative to the elements**: -0.70 eV per atom
**Offset from the most stable computed form**: 0.00 eV per formula unit
**Uncorrected energy**: -75.30 eV/cell

Entry 5:
Ce2Ho2Ir3 | PBE | relaxed

Structure (POSCAR):
```
Ce2Ho2Ir3
1.0
-7.3467 -0.2981 1.3642
1.9573 -5.7383 -4.3778
3.7524 -0.3972 6.4565
Ce Ho Ir
4 4 6
direct
0.5000 0.3794 0.5000
0.0000 0.0000 0.3794
0.6206 0.1206 0.1206
0.8794 0.5000 0.0000
0.0000 0.0000 0.8747
0.5000 0.8747 0.5000
0.1253 0.6253 0.6253
0.3747 0.5000 0.0000
0.7500 0.6327 0.3827
0.2500 0.8673 0.1173
0.6173 0.7500 0.8673
0.8827 0.2500 0.6327
0.3673 0.1173 0.7500
0.1327 0.3827 0.2500
```

**Energy relative to the elements**: -0.76 eV per atom
**Offset from the most stable computed form**: 0.00 eV per formula unit
**Uncorrected energy**: -105.79 eV/cell

Entry 6:
CeHoIr | PBE | relaxed

Structure (POSCAR):
```
CeHoIr
1.0
4.0356 -0.0123 -0.0091
0.0126 4.8314 -0.4471
0.0217 0.9609 7.4657
Ce Ho Ir
2 2 2
direct
0.0231 0.3751 0.0060
0.5228 0.8006 0.0408
0.0227 0.8467 0.6499
0.5231 0.3289 0.3970
0.5232 0.2495 0.7691
0.0226 0.9261 0.2777
```

**Energy relative to the elements**: -0.55 eV per atom
**Offset from the most stable computed form**: 0.00 eV per formula unit
**Uncorrected energy**: -42.05 eV/cell

Entry 7:
CeHo3Ir3 | PBE | relaxed

Structure (POSCAR):
```
CeHo3Ir3
1.0
-1.4335 -1.6586 6.6309
6.4362 -2.3818 1.2951
2.2927 5.8542 2.5881
Ce Ho Ir
2 6 6
direct
0.7763 0.7763 0.9316
0.2237 0.2237 0.0684
0.6956 0.6956 0.4719
0.1875 0.8125 0.5000
0.8125 0.1875 0.5000
0.2717 0.7283 0.0000
0.7283 0.2717 0.0000
0.3044 0.3044 0.5281
0.9409 0.9409 0.2056
0.9876 0.4976 0.7341
0.4976 0.9876 0.7341
0.0124 0.5024 0.2659
0.5024 0.0124 0.2659
0.0591 0.0591 0.7944
```

**Energy relative to the elements**: -0.68 eV per atom
**Uncorrected energy**: -102.08 eV/cell

Entry 8:
CeHo3Ir4 | PBE | relaxed

Structure (POSCAR):
```
CeHo3Ir4
1.0
-2.9873 -0.1686 1.4162
1.7714 -3.1834 3.3575
2.3771 7.5607 5.9145
Ir Ho Ce
4 3 1
direct
0.0000 0.0000 0.5000
0.0000 0.5000 0.7511
0.0000 0.0000 0.0000
0.0000 0.5000 0.2489
0.5000 0.0000 0.2540
0.5000 0.5000 0.5000
0.5000 0.0000 0.7460
0.5000 0.5000 0.0000
```

**Energy relative to the elements**: -0.80 eV per atom
**Uncorrected energy**: -61.49 eV/cell

Magnetic moment per entry: 0.0 0.0 0.1 0.0 2.1 0.0 0.0 0.0 Bohr magnetons per cell